Entry 1:
Below is a relaxed AcLa2Nd4 crystal, with properties calculated at the PBE level.

Cell lengths 4.717, 4.717, 12.504 Å; angles 100.87, 100.87, 90.00 degrees
Fractional positions:
Ac  0.000  0.000  0.000
La  0.605  0.605  0.209
La  0.395  0.395  0.791
Nd  0.142  0.142  0.284
Nd  0.858  0.858  0.716
Nd  0.750  0.250  0.500
Nd  0.250  0.750  0.500

## Properties
Energy relative to the lowest polymorph listed for this composition: 0 meV/atom
Symmetry: No. 139


Entry 2:
Below is a relaxed AcLa3Nd2 crystal, with properties calculated at the PBE level.

Cell lengths 6.513, 6.513, 12.476 Å; angles 110.28, 110.28, 70.65 degrees
Fractional positions:
Ac  0.125  0.875  0.250
Ac  0.875  0.125  0.750
La  0.790  0.539  0.580
La  0.461  0.210  0.920
La  0.210  0.461  0.420
La  0.539  0.790  0.080
La  0.625  0.375  0.250
La  0.375  0.625  0.750
Nd  0.042  0.292  0.083
Nd  0.708  0.958  0.417
Nd  0.958  0.708  0.917
Nd  0.292  0.042  0.583

## Properties
Energy relative to the lowest polymorph listed for this composition: 0 meV/atom
Symmetry: No. 15


Entry 3:
Below is a relaxed Ac6La3Nd crystal, with properties calculated at the PBE level.

Cell lengths 10.431, 10.431, 10.431 Å; angles 110.69, 110.69, 110.69 degrees
Fractional positions:
Ac  0.098  0.734  0.155
Ac  0.845  0.902  0.266
Ac  0.075  0.375  0.582
Ac  0.266  0.845  0.902
Ac  0.375  0.582  0.075
Ac  0.418  0.925  0.625
Ac  0.582  0.075  0.375
Ac  0.625  0.418  0.925
Ac  0.734  0.155  0.098
Ac  0.925  0.625  0.418
Ac  0.155  0.098  0.734
Ac  0.902  0.266  0.845
La  0.166  0.458  0.287
La  0.287  0.166  0.458
La  0.542  0.713  0.834
La  0.458  0.287  0.166
La  0.713  0.834  0.542
La  0.834  0.542  0.713
Nd  0.000  0.000  0.000
Nd  0.500  0.500  0.500

## Properties
Energy relative to the lowest polymorph listed for this composition: 20 meV/atom
Symmetry: No. 148


Entry 4:
Below is a relaxed Ac2La6Nd5 crystal, with properties calculated at the PBE level.

Cell lengths 3.752, 12.373, 21.252 Å; angles 90.00, 90.00, 90.00 degrees
Fractional positions:
Ac  0.000  0.334  0.279
Ac  0.000  0.666  0.721
Ac  0.000  0.834  0.221
Ac  0.000  0.166  0.779
La  0.000  0.071  0.363
La  0.000  0.929  0.637
La  0.000  0.571  0.137
La  0.000  0.429  0.863
La  0.500  0.314  0.121
La  0.500  0.686  0.879
La  0.500  0.814  0.379
La  0.500  0.186  0.621
La  0.000  0.554  0.424
La  0.000  0.446  0.576
La  0.000  0.054  0.076
La  0.000  0.946  0.924
Nd  0.500  0.295  0.444
Nd  0.500  0.705  0.556
Nd  0.500  0.795  0.056
Nd  0.500  0.205  0.944
Nd  0.500  0.593  0.281
Nd  0.500  0.407  0.719
Nd  0.500  0.093  0.219
Nd  0.500  0.907  0.781
Nd  0.500  0.500  0.000
Nd  0.500  0.000  0.500

## Properties
Symmetry: No. 55


Entry 5:
Below is a relaxed Ac3La8Nd crystal, with properties calculated at the PBE level.

Cell lengths 9.056, 9.056, 9.060 Å; angles 94.53, 100.86, 137.10 degrees
Fractional positions:
Ac  0.505  0.753  0.248
Ac  0.505  0.257  0.752
Ac  0.151  0.651  0.500
La  0.497  0.176  0.321
La  0.503  0.676  0.827
La  0.849  0.676  0.173
La  0.855  0.176  0.679
La  0.167  0.243  0.418
La  0.826  0.243  0.077
La  0.166  0.749  0.923
La  0.826  0.749  0.582
Nd  0.152  0.152  0.000

## Properties
Symmetry: No. 44


Entry 6:
Below is a relaxed AcLa4Nd crystal, with properties calculated at the PBE level.

Cell lengths 6.215, 7.071, 10.962 Å; angles 108.82, 89.14, 90.00 degrees
Fractional positions:
Ac  0.045  0.332  0.665
Ac  0.955  0.668  0.335
La  0.575  0.238  0.476
La  0.490  0.344  0.175
La  0.000  0.255  0.000
La  0.510  0.169  0.825
La  0.425  0.762  0.524
La  0.510  0.656  0.825
La  0.000  0.745  0.000
La  0.490  0.831  0.175
Nd  0.057  0.152  0.305
Nd  0.943  0.848  0.695

## Properties
Energy relative to the lowest polymorph listed for this composition: 130 meV/atom
Symmetry: No. 12


Entry 7:
Below is a relaxed Ac7LaNd4 crystal, with properties calculated at the PBE level.

Cell lengths 6.468, 10.173, 9.188 Å; angles 65.81, 69.39, 71.46 degrees
Fractional positions:
Ac  0.794  0.879  0.533
Ac  0.206  0.121  0.467
Ac  0.087  0.552  0.273
Ac  0.913  0.448  0.727
Ac  0.231  0.739  0.800
Ac  0.500  0.000  0.000
Ac  0.769  0.261  0.200
La  0.000  0.000  0.000
Nd  0.558  0.300  0.585
Nd  0.442  0.700  0.415
Nd  0.669  0.644  0.019
Nd  0.331  0.356  0.981

## Properties
Energy relative to the lowest polymorph listed for this composition: 193 meV/atom
Symmetry: No. 12


Entry 8:
Below is a relaxed Ac3LaNd7 crystal, with properties calculated at the PBE level.

Cell lengths 6.076, 8.965, 8.965 Å; angles 82.90, 109.85, 109.85 degrees
Fractional positions:
Ac  0.000  0.789  0.211
Ac  0.500  0.000  0.000
Ac  0.000  0.211  0.789
La  0.500  0.500  0.500
Nd  0.214  0.214  0.214
Nd  0.292  0.992  0.591
Nd  0.708  0.409  0.008
Nd  0.292  0.591  0.992
Nd  0.000  0.500  0.500
Nd  0.708  0.008  0.409
Nd  0.786  0.786  0.786

## Properties
Symmetry: No. 12


no.,electronic total energy (eV/atom),spin magnetization (μB per cell)
1,-4.532,0.0
2,-4.713,0.0
3,-4.338,0.0
4,-4.649,0.0
5,-4.674,0.0
6,-4.613,0.0
7,-4.176,0.2
8,-4.365,0.1